[1]
An optimized crystal structure of TiCoCuPd. Source: the Alexandria database, functional PBE-GGA.

Cell and atoms, written as POSCAR:
```
TiCoCuPd
1.0
3.087 0.000 0.000
0.000 3.087 0.000
0.000 0.000 5.624
Ti Co Cu Pd
1 1 1 1
Direct
0.000 0.000 0.331
0.500 0.500 0.111
0.000 0.000 0.874
0.500 0.500 0.612
```



[2]
An optimized crystal structure of PaHRu2Pt. Source: the Alexandria database, functional PBE-GGA.

Cell and atoms, written as POSCAR:
```
PaHRu2Pt
1.0
3.959 0.000 0.000
0.000 4.203 0.000
0.000 0.000 4.203
Pa H Ru Pt
1 1 2 1
Direct
0.500 0.500 0.500
0.000 0.000 0.000
0.000 0.000 0.500
0.000 0.500 0.000
0.500 0.000 0.000
```



[3]
An optimized crystal structure of Mg3VZn. Source: the Alexandria database, functional PBE-GGA.

Cell and atoms, written as POSCAR:
```
Mg3VZn
1.0
5.297 0.000 0.000
0.000 5.297 0.000
0.000 0.000 5.297
Zn Mg V
1 3 1
Direct
0.500 0.500 0.500
0.000 0.500 0.000
0.000 0.000 0.500
0.500 0.000 0.000
0.000 0.000 0.000
```



[4]
Te3W (PBE-GGA, optimized geometry); raw formation energy = 0.19 eV/atom
1.0
-0.997 -2.767 1.794
-0.391 -3.033 -1.586
9.879 -4.322 2.110
Te W
3 1
Direct
0.500 0.500 0.500
0.725 0.725 0.825
0.275 0.275 0.175
0.000 0.000 0.000



| no. | magnetization (μB/f.u.) | energy (Ha/atom) |
| --- | --- | --- |
| 1 | 0.2 | -0.23484 |
| 2 | 0.0 | -0.29474 |
| 3 | 4.7 | -0.07687 |
| 4 | 0.0 | -0.19862 |